Record 1
A plane-wave DFT calculation with GGA-PBE was carried out for a geometry-optimized Rb2Ho2BiO6 structure.

**Formation energy (no corrections)**: -2.2708 eV/atom
**Fermi-level density of states**: 3.90 states/eV/f.u.
**M_tot**: 1.667 μB per cell

```
data_Rb2Ho2BiO6
_chemical_formula_sum 'Rb4 Ho4 Bi2 O12'
_cell_length_a 6.017
_cell_length_b 10.422
_cell_length_c 6.993
_cell_angle_alpha 90.00
_cell_angle_beta 106.27
_cell_angle_gamma 90.00
_symmetry_space_group_name_H-M 'C 1 2/m 1'
_symmetry_Int_Tables_number 12
loop_
_symmetry_equiv_pos_as_xyz
'x,y,z'
'-x,-y,-z'
'-x,y,-z'
'x,-y,z'
'x+1/2,y+1/2,z'
'-x+1/2,-y+1/2,-z'
'-x+1/2,y+1/2,-z'
'x+1/2,-y+1/2,z'
loop_
_atom_site_label
_atom_site_fract_x
_atom_site_fract_y
_atom_site_fract_z
_atom_site_occupancy
Rb1 0.000 0.166 0.000 1
Ho1 0.000 0.334 0.500 1
Bi1 0.000 0.000 0.500 1
O1 0.220 0.170 0.669 1
O2 0.226 0.500 0.670 1
```


Record 2
A plane-wave DFT calculation with GGA-PBE was carried out for a geometry-optimized TlAg3 structure.

**Fermi-level density of states**: 1.14 states/eV/f.u.
**Raw total energy**: -2.63 eV per atom
**M_tot**: 0.000 μB per cell

```
data_TlAg3
_chemical_formula_sum 'Tl1 Ag3'
_cell_length_a 3.073
_cell_length_b 4.311
_cell_length_c 6.104
_cell_angle_alpha 90.00
_cell_angle_beta 90.00
_cell_angle_gamma 90.00
_symmetry_space_group_name_H-M 'P m m m'
_symmetry_Int_Tables_number 47
loop_
_symmetry_equiv_pos_as_xyz
'x,y,z'
'-x,-y,-z'
'-x,-y,z'
'x,y,-z'
'x,-y,-z'
'-x,y,z'
'-x,y,-z'
'x,-y,z'
loop_
_atom_site_label
_atom_site_fract_x
_atom_site_fract_y
_atom_site_fract_z
_atom_site_occupancy
Tl1 0.000 0.000 0.000 1
Ag1 0.000 0.000 0.500 1
Ag2 0.500 0.500 0.269 1
```


Record 3
A plane-wave DFT calculation with GGA-PBE was carried out for a geometry-optimized Ta2MnPb structure.

**Fermi-level density of states**: 3.65 states/eV/f.u.
**Raw total energy**: -8.76 eV per atom
**M_tot**: 4.039 μB per cell

```
data_Ta2MnPb
_chemical_formula_sum 'Ta4 Mn2 Pb2'
_cell_length_a 3.444
_cell_length_b 4.670
_cell_length_c 9.029
_cell_angle_alpha 90.00
_cell_angle_beta 90.00
_cell_angle_gamma 90.00
_symmetry_space_group_name_H-M 'I m m 2'
_symmetry_Int_Tables_number 44
loop_
_symmetry_equiv_pos_as_xyz
'x,y,z'
'-x,-y,z'
'-x,y,z'
'x,-y,z'
'x+1/2,y+1/2,z+1/2'
'-x+1/2,-y+1/2,z+1/2'
'-x+1/2,y+1/2,z+1/2'
'x+1/2,-y+1/2,z+1/2'
loop_
_atom_site_label
_atom_site_fract_x
_atom_site_fract_y
_atom_site_fract_z
_atom_site_occupancy
Ta1 0.000 0.000 0.000 1
Ta2 0.000 0.500 0.242 1
Mn1 0.000 0.500 0.720 1
Pb1 0.000 0.000 0.466 1
```


Record 4
A plane-wave DFT calculation with GGA-PBE was carried out for a geometry-optimized AlHg2Sb structure.

**Formation energy (no corrections)**: 0.2423 eV/atom
**Fermi-level density of states**: 1.70 states/eV/f.u.
**M_tot**: 0.000 μB per cell

```
data_AlHg2Sb
_chemical_formula_sum 'Al4 Hg8 Sb4'
_cell_length_a 7.327
_cell_length_b 7.327
_cell_length_c 7.327
_cell_angle_alpha 90.00
_cell_angle_beta 90.00
_cell_angle_gamma 90.00
_symmetry_space_group_name_H-M 'F m -3 m'
_symmetry_Int_Tables_number 225
_symmetry_space_group_name_Hall '-F 4 2 3'
loop_
_atom_site_label
_atom_site_fract_x
_atom_site_fract_y
_atom_site_fract_z
_atom_site_occupancy
Al1 0.000 0.000 0.000 1
Hg1 0.250 0.250 0.250 1
Sb1 0.000 0.000 0.500 1
```